# 1
VSi2PdO (PBE with a Hubbard U, relaxed); magnetization = 0.971 μB per cell; total DFT energy (no corrections) = -0.201 Ha/atom; density of states at the Fermi level = 3.17 states/eV per cell
1.0
-0.3494 -0.0153 4.8155
-2.4659 -2.5761 -0.1871
3.4747 -3.3436 0.2415
Pd V Si O
1 1 2 1
Direct
0.5000 0.5000 0.5000
0.0000 0.0000 0.0000
0.0000 0.0000 0.5000
0.5000 0.0000 0.0000
0.0000 0.5000 0.0000



# 2
NiSnH12O6F6 (PBE with a Hubbard U, relaxed); magnetization = 1.974 μB per cell; total DFT energy (no corrections) = -0.179 Ha/atom; density of states at the Fermi level = 0.00 states/eV per cell
1.0
-6.5462 -0.2898 0.6246
0.4641 -4.4190 -4.8563
1.3845 -4.1631 4.9070
H O F Ni Sn
12 6 6 1 1
Direct
0.1960 0.3316 0.6864
0.8040 0.6684 0.3136
0.1035 0.3149 0.4502
0.3316 0.6864 0.1960
0.3149 0.4502 0.1035
0.6684 0.3136 0.8040
0.4502 0.1035 0.3149
0.8965 0.6851 0.5498
0.5498 0.8965 0.6851
0.6851 0.5498 0.8965
0.6864 0.1960 0.3316
0.3136 0.8040 0.6684
0.5581 0.2066 0.3937
0.7934 0.6063 0.4419
0.4419 0.7934 0.6063
0.2066 0.3937 0.5581
0.3937 0.5581 0.2066
0.6063 0.4419 0.7934
0.2525 0.9299 0.1645
0.8355 0.7475 0.0701
0.1645 0.2525 0.9299
0.0701 0.8355 0.7475
0.9299 0.1645 0.2525
0.7475 0.0701 0.8355
0.5000 0.5000 0.5000
0.0000 0.0000 0.0000